Computed, not measured: a relaxed structure of KMoP2O at the GGA+U level of DFT.

## Properties
Its energy above the most stable polymorph in this dataset is 0.000 eV per atom. The spin magnetization is 0.05 μB per formula unit.

a b c (Å): 4.918 4.918 3.939
angles (deg): 90.00 90.00 90.00
Space group P4/mmm (No. 123)
Symmetry-distinct sites (fractional):
K (0.000, 0.000, 0.000)
Mo (0.500, 0.500, 0.500)
P (0.000, 0.500, 0.500)
O (0.500, 0.500, 0.000)